HoCr2GeO6 | PBE with a Hubbard U | optimized geometry

As for the total energy: -75.655 eV for the cell shown. The total magnetization is 7.00 Bohr magnetons per cell.

The structure belongs to space group P1 (No. 1); the cell edges are 5.1936, 5.2547 and 5.6109 Å and the angles 64.11°, 89.94° and 60.65°. Symmetry generates all atoms from Ho at (0.0000, 0.0000, 0.0000), Cr at (0.2126, 0.5758, 0.6168), Cr at (0.7170, 0.5503, 0.1582), Ge at (0.5220, 0.9581, 0.5505), O at (0.1748, 0.0240, 0.3639), O at (0.3201, 0.1039, 0.7984), O at (0.4332, 0.4140, 0.3611), O at (0.5806, 0.5032, 0.8271), O at (0.8008, 0.7738, 0.3590) and O at (0.9078, 0.7483, 0.8222).